The following is a DFT calculation (GGA-PBE) of MgSeBr2 after structural relaxation.

For the total energy, the calculation gives -2.39 eV/atom. For the offset from the most stable computed form, the calculation gives 462 meV/atom. As for the formation energy from raw total energies: -0.287 eV/atom. The value obtained for the density of states at the Fermi level is 0.366 states/eV per atom. For the spin magnetization, the calculation gives 0.00 μB per formula unit.

It has space group I-4m2 (No. 119), with a = 4.008 Å, b = 4.008 Å, c = 12.673 Å, α = 90.00°, β = 90.00° and γ = 90.00°. Symmetry generates all atoms from Mg at (0.000, 0.000, 0.000), Se at (0.000, 0.500, 0.750), Br at (0.000, 0.000, 0.500) and Br at (0.000, 0.500, 0.250).

***

The following is a DFT calculation (GGA-PBE) of Mg2SeBr after structural relaxation.

For the total energy, the calculation gives -2.80 eV/atom. For the offset from the most stable computed form, the calculation gives 168 meV/atom. As for the formation energy from raw total energies: -0.709 eV/atom. The value obtained for the density of states at the Fermi level is 0.290 states/eV per atom. For the spin magnetization, the calculation gives 0.00 μB per formula unit.

It has space group Immm (No. 71), with a = 3.916 Å, b = 6.778 Å, c = 7.641 Å, α = 90.00°, β = 90.00° and γ = 90.00°. Symmetry generates all atoms from Mg at (0.000, 0.000, 0.234), Se at (0.000, 0.500, 0.500) and Br at (0.000, 0.500, 0.000).

***

The following is a DFT calculation (GGA-PBE) of Mg2SeBr after structural relaxation.

For the total energy, the calculation gives -2.75 eV/atom. For the offset from the most stable computed form, the calculation gives 212 meV/atom. As for the formation energy from raw total energies: -0.664 eV/atom. The value obtained for the density of states at the Fermi level is 0.310 states/eV per atom. For the spin magnetization, the calculation gives 0.00 μB per formula unit.

It has space group P4/mmm (No. 123), with a = 3.530 Å, b = 3.530 Å, c = 7.189 Å, α = 90.00°, β = 90.00° and γ = 90.00°. Symmetry generates all atoms from Mg at (0.000, 0.000, 0.210), Se at (0.500, 0.500, 0.000) and Br at (0.500, 0.500, 0.500).

***

The following is a DFT calculation (GGA-PBE) of MgSeBr2 after structural relaxation.

For the total energy, the calculation gives -2.73 eV/atom. For the offset from the most stable computed form, the calculation gives 125 meV/atom. As for the formation energy from raw total energies: -0.625 eV/atom. For the spin magnetization, the calculation gives 0.00 μB per formula unit.

It has space group P4mm (No. 99), with a = 3.934 Å, b = 3.934 Å, c = 8.113 Å, α = 90.00°, β = 90.00° and γ = 90.00°. Symmetry generates all atoms from Mg at (0.000, 0.000, 0.000), Se at (0.500, 0.500, 0.928), Br at (0.000, 0.000, 0.292) and Br at (0.500, 0.500, 0.634).

***

The following is a DFT calculation (GGA-PBE) of Mg2SeBr after structural relaxation.

For the total energy, the calculation gives -2.73 eV/atom. For the offset from the most stable computed form, the calculation gives 231 meV/atom. As for the formation energy from raw total energies: -0.646 eV/atom. The value obtained for the density of states at the Fermi level is 0.353 states/eV per atom. For the spin magnetization, the calculation gives 0.00 μB per formula unit.

It has space group Fm-3m (No. 225), with a = 7.005 Å, b = 7.005 Å, c = 7.005 Å, α = 90.00°, β = 90.00° and γ = 90.00°. Symmetry generates all atoms from Mg at (0.250, 0.250, 0.250), Se at (0.000, 0.000, 0.000) and Br at (0.000, 0.000, 0.500).

***

The following is a DFT calculation (GGA-PBE) of Mg2SeBr after structural relaxation.

For the total energy, the calculation gives -2.95 eV/atom. For the offset from the most stable computed form, the calculation gives 13 meV/atom. As for the formation energy from raw total energies: -0.863 eV/atom. The value obtained for the density of states at the Fermi level is 0.454 states/eV per atom. For the spin magnetization, the calculation gives 0.00 μB per formula unit.

It has space group C2/m (No. 12), with a = 6.973 Å, b = 4.084 Å, c = 7.234 Å, α = 90.00°, β = 108.91° and γ = 90.00°. Symmetry generates all atoms from Mg at (0.238, 0.000, 0.219), Se at (0.000, 0.500, 0.000) and Br at (0.000, 0.000, 0.500).